No. 1
A relaxed structure of CaVO2. Source: Alexandria via LeMat-Bulk, functional PBE+U.

Structure (extended XYZ):
```
4
Lattice="0.0000 2.7820 2.7820 2.7820 0.0000 2.7820 2.7820 2.7820 0.0000" Properties=species:S:1:pos:R:3 pbc="T T T"
Ca 0.0000 0.0000 0.0000
V 2.7820 2.7820 2.7820
O 1.3910 1.3910 1.3910
O 4.1730 4.1730 4.1730
```

Calculated values
Symmetry = Fm-3m, No. 225
Energy relative to the lowest polymorph listed for this composition = 0.6753 eV per atom
Size of the total moment = 1.000 μB/f.u.

=====

No. 2
A relaxed structure of Ca3V2O7. Source: Alexandria via LeMat-Bulk, functional PBE+U.

Structure (extended XYZ):
```
24
Lattice="9.5268 -2.7380 0.0000 9.5268 2.7380 0.0000 0.0000 0.0000 5.5587" Properties=species:S:1:pos:R:3 pbc="T T T"
Ca 6.0055 1.4083 3.2473
Ca 9.5268 1.4230 2.7793
Ca 13.0482 1.4083 3.2473
Ca 6.0055 -1.4083 0.4680
Ca 9.5268 -1.4230 0.0000
Ca 13.0482 -1.4083 0.4680
V 7.6247 1.3674 0.2539
V 11.4290 1.3674 0.2539
V 7.6247 -1.3674 3.0333
V 11.4290 -1.3674 3.0333
O 3.7509 0.9898 2.8960
O 1.5847 0.2097 1.4122
O 1.5847 -0.2097 4.1915
O 9.5268 0.9639 0.3244
O 7.3733 0.2157 1.8340
O 3.7509 -0.9898 0.1167
O 7.3733 -0.2157 4.6134
O 11.6804 0.2157 1.8340
O 15.3028 0.9898 2.8960
O 11.6804 -0.2157 4.6134
O 9.5268 -0.9639 3.1037
O 17.4689 0.2097 1.4122
O 17.4689 -0.2097 4.1915
O 15.3028 -0.9898 0.1167
```

Calculated values
Symmetry = Cmc2_1, No. 36
E = -86.6 eV per formula unit
Size of the total moment = 2.000 μB/f.u.

=====

No. 3
A relaxed structure of CaV2WO8. Source: Alexandria via LeMat-Bulk, functional PBE+U.

Structure (extended XYZ):
```
12
Lattice="-3.5215 3.5215 3.0904 3.5215 -3.5215 3.0904 3.5215 3.5215 -3.0904" Properties=species:S:1:pos:R:3 pbc="T T T"
Ca 0.0000 0.0000 0.0000
V 0.0000 0.0000 3.0904
V 0.0000 3.5215 1.5452
W 3.5215 0.0000 1.5452
O 2.1179 3.5215 -1.0258
O 1.4036 0.0000 2.0646
O 0.0000 2.3061 0.1996
O 3.5215 2.1179 1.0258
O 0.0000 4.7369 0.1996
O 0.0000 1.4036 4.1161
O -1.2154 3.5215 2.8908
O 1.2154 3.5215 2.8908
```

Calculated values
Symmetry = I-4m2, No. 119
E = -88.3 eV per formula unit
Size of the total moment = 2.000 μB/f.u.

=====

No. 4
A relaxed structure of CaVWO6. Source: Alexandria via LeMat-Bulk, functional PBE+U.

Structure (extended XYZ):
```
18
Lattice="4.8213 0.0000 0.0000 0.0000 4.8213 0.0000 0.0000 0.0000 9.4998" Properties=species:S:1:pos:R:3 pbc="T T T"
Ca 0.0000 0.0000 0.0000
Ca 2.4107 2.4107 4.7499
V 0.0000 0.0000 6.3430
V 2.4107 2.4107 1.5931
W 0.0000 0.0000 3.2097
W 2.4107 2.4107 7.9596
O 0.8385 0.8385 4.7760
O 1.0661 1.0661 1.8880
O 1.0667 1.0667 7.7483
O 1.3440 3.4773 2.9984
O 1.3446 3.4768 6.6379
O 1.5721 3.2492 0.0261
O 3.2492 1.5721 0.0261
O 3.4773 1.3440 2.9984
O 3.4768 1.3446 6.6379
O 3.7552 3.7552 1.8880
O 3.7546 3.7546 7.7483
O 3.9828 3.9828 4.7760
```

Calculated values
Symmetry = P4_2nm, No. 102
E = -66.6 eV per formula unit
Size of the total moment = 1.005 μB/f.u.

=====

No. 5
A relaxed structure of CaVZnO4. Source: Alexandria via LeMat-Bulk, functional PBE+U.

Structure (extended XYZ):
```
14
Lattice="3.0593 -4.6866 0.0000 3.0593 4.6866 0.0000 0.0000 0.0000 6.6261" Properties=species:S:1:pos:R:3 pbc="T T T"
Ca 0.0000 0.0000 0.0000
Ca 0.0000 0.0000 3.3131
V 3.0593 1.3893 4.9696
V 3.0593 -1.3893 1.6565
Zn 3.0593 1.3980 1.6565
Zn 3.0593 -1.3980 4.9696
O 3.0593 2.2912 3.4155
O 3.0593 2.2912 6.5237
O 1.6727 0.1216 4.9696
O 1.6727 -0.1216 1.6565
O 4.4460 0.1216 4.9696
O 4.4460 -0.1216 1.6565
O 3.0593 -2.2912 0.1024
O 3.0593 -2.2912 3.2106
```

Calculated values
Symmetry = Cmcm, No. 63
E = -45.4 eV per formula unit
Size of the total moment = 1.000 μB/f.u.

=====

No. 6
A relaxed structure of CaW2O6. Source: Alexandria via LeMat-Bulk, functional PBE+U.

Structure (extended XYZ):
```
9
Lattice="5.3708 0.0000 0.0000 -2.6854 4.6513 0.0000 0.0000 0.0000 5.0023" Properties=species:S:1:pos:R:3 pbc="T T T"
Ca 0.0000 0.0000 0.0000
W 0.0000 3.1008 2.5012
W 2.6854 1.5504 2.5012
O -0.9806 1.6985 1.4336
O -1.7048 2.9528 3.5687
O 1.9612 0.0000 1.4336
O 0.9806 1.6985 3.5687
O 3.4096 0.0000 3.5687
O 1.7048 2.9528 1.4336
```

Calculated values
Symmetry = P-31m, No. 162
Energy relative to the lowest polymorph listed for this composition = 0.0000 eV per atom
Size of the total moment = 2.000 μB/f.u.

=====

No. 7
A relaxed structure of CaWO4. Source: Alexandria via LeMat-Bulk, functional PBE+U.

Structure (extended XYZ):
```
24
Lattice="3.8866 -6.7708 0.0000 3.8866 6.7708 0.0000 0.0000 0.0000 5.3656" Properties=species:S:1:pos:R:3 pbc="T T T"
Ca 1.9433 2.1771 1.3414
Ca 1.9433 -2.1771 4.0242
Ca 5.8299 2.1771 1.3414
Ca 5.8299 -2.1771 4.0242
W 3.8866 5.5328 1.5751
W 3.8866 1.2380 4.2579
W 3.8866 -1.2380 1.1077
W 3.8866 -5.5328 3.7905
O 3.8866 5.5153 5.0853
O 1.9433 2.0039 4.0242
O 1.1621 0.0000 2.6828
O 3.8866 4.0843 2.7109
O 3.8866 2.6865 0.0281
O 2.7245 0.0000 0.0000
O 1.9433 -2.0039 1.3414
O 3.8866 1.2555 2.4025
O 3.8866 -1.2555 2.9630
O 5.8299 2.0039 4.0242
O 5.0487 0.0000 0.0000
O 3.8866 -2.6865 5.3374
O 3.8866 -4.0843 2.6546
O 6.6111 0.0000 2.6828
O 5.8299 -2.0039 1.3414
O 3.8866 -5.5153 0.2803
```

Calculated values
Symmetry = Cmce, No. 64
E = -42.8 eV per formula unit
Size of the total moment = 0.000 μB/f.u.

=====

No. 8
A relaxed structure of CaW4O9. Source: Alexandria via LeMat-Bulk, functional PBE+U.

Structure (extended XYZ):
```
28
Lattice="9.7397 0.0000 0.0000 0.0000 9.7397 0.0000 0.0000 0.0000 3.9617" Properties=species:S:1:pos:R:3 pbc="T T T"
Ca 2.4349 2.4349 0.0056
Ca 7.3048 7.3048 3.9561
W 0.3727 8.1806 1.9771
W 1.5591 5.2426 1.9847
W 3.3108 9.3670 1.9847
W 4.4972 6.4290 1.9771
W 5.2426 3.3108 1.9847
W 6.4290 0.3727 1.9771
W 8.1806 4.4972 1.9771
W 9.3670 1.5591 1.9847
O 0.0447 1.7215 0.0030
O 0.2578 3.5609 1.9821
O 1.3089 0.2578 1.9821
O 1.7215 4.8252 0.0030
O 2.4349 7.3048 1.9809
O 3.1483 0.0447 0.0030
O 3.5609 4.6121 1.9821
O 4.6121 1.3089 1.9821
O 4.8252 3.1483 0.0030
O 4.9146 6.5914 3.9587
O 5.1277 8.4308 1.9797
O 6.1788 5.1277 1.9797
O 6.5914 9.6950 3.9587
O 7.3048 2.4349 1.9809
O 8.0182 4.9146 3.9587
O 8.4308 9.4819 1.9797
O 9.4819 6.1788 1.9797
O 9.6950 8.0182 3.9587
```

Calculated values
Symmetry = P4/n, No. 85
E = -101.6 eV per formula unit
Size of the total moment = 8.000 μB/f.u.

=====

Theoretical density, respectively: 4.7 3.8 4.9 5.6 3.9 6.7 6.8 8.1 Mg/m³.